Below is a geometry-optimized SiS2F structure, with properties calculated at the PBE-GGA level.

Summary:
* formation energy without anion corrections: 0.0333 eV per atom
* DOS at the Fermi energy: 1.72 states/eV per cell
* distance to the lowest polymorph of the same formula: 494 meV/atom
* electronic total energy: -3.85 eV/atom

Cell: 4.1862 4.1862 4.1862 Å, 60.00 60.00 60.00°
Fractional positions:
S  0.2500  0.2500  0.2500
S  0.7500  0.7500  0.7500
Si  0.5000  0.5000  0.5000
F  0.0000  0.0000  0.0000